# 1
# YBe3Zn | Alexandria | PBE-GGA | optimized geometry
data_YBe3Zn
_cell_length_a 4.214
_cell_length_b 4.214
_cell_length_c 4.214
_cell_angle_alpha 90.00
_cell_angle_beta 90.00
_cell_angle_gamma 90.00
_symmetry_space_group_name_H-M 'P m -3 m'
_symmetry_Int_Tables_number 221
_symmetry_space_group_name_Hall '-P 4 2 3'
loop_
_atom_site_label
_atom_site_fract_x
_atom_site_fract_y
_atom_site_fract_z
Y1 0.000 0.000 0.000
Be1 0.000 0.500 0.500
Zn1 0.500 0.500 0.500
# **E_tot**: -3.521 eV per atom
# **Crystal system**: cubic
# **Total magnetic moment**: 0.0 Bohr magnetons per cell

# 2
# Ta2HgPb | Alexandria | PBE-GGA | optimized geometry
data_Ta2HgPb
_cell_length_a 4.227
_cell_length_b 4.227
_cell_length_c 9.113
_cell_angle_alpha 90.00
_cell_angle_beta 90.00
_cell_angle_gamma 90.00
_symmetry_space_group_name_H-M 'I -4 m 2'
_symmetry_Int_Tables_number 119
_symmetry_space_group_name_Hall 'I -4 -2'
loop_
_atom_site_label
_atom_site_fract_x
_atom_site_fract_y
_atom_site_fract_z
Ta1 0.000 0.000 0.000
Ta2 0.000 0.500 0.250
Hg1 0.000 0.500 0.750
Pb1 0.000 0.000 0.500
# **E_tot**: -6.334 eV per atom
# **Crystal system**: tetragonal
# **Total magnetic moment**: 0.0 Bohr magnetons per cell

# 3
# CoSiSbI2 | Alexandria | PBE-GGA | optimized geometry
data_CoSiSbI2
_cell_length_a 5.438
_cell_length_b 5.438
_cell_length_c 5.493
_cell_angle_alpha 90.00
_cell_angle_beta 90.00
_cell_angle_gamma 90.00
_symmetry_space_group_name_H-M 'P 4/m m m'
_symmetry_Int_Tables_number 123
_symmetry_space_group_name_Hall '-P 4 2'
loop_
_atom_site_label
_atom_site_fract_x
_atom_site_fract_y
_atom_site_fract_z
Co1 0.000 0.000 0.000
Si1 0.500 0.500 0.500
Sb1 0.500 0.500 0.000
I1 0.000 0.500 0.500
# **E_tot**: -2.893 eV per atom
# **Crystal system**: tetragonal
# **Uncorrected formation energy**: 1.06 eV per atom
# **Total magnetic moment**: 1.6 Bohr magnetons per cell

# 4
# Rb2CdCoCl6 | Alexandria | PBE-GGA | optimized geometry
data_Rb2CdCoCl6
_cell_length_a 7.2559
_cell_length_b 7.2559
_cell_length_c 36.5394
_cell_angle_alpha 90.00
_cell_angle_beta 90.00
_cell_angle_gamma 120.00
_symmetry_space_group_name_H-M 'R -3 m'
_symmetry_Int_Tables_number 166
_symmetry_space_group_name_Hall '-R 3 2"'
loop_
_atom_site_label
_atom_site_fract_x
_atom_site_fract_y
_atom_site_fract_z
Rb1 0.0000 0.0000 0.1258
Rb2 0.0000 0.0000 0.2928
Cd1 0.0000 0.0000 0.4124
Co1 0.0000 0.0000 0.0000
Co2 0.0000 0.0000 0.5000
Cl1 0.0145 0.5073 0.7055
Cl2 0.0164 0.5082 0.1269
# **E_tot**: -3.370 eV per atom
# **Crystal system**: trigonal
# **Uncorrected formation energy**: -1.27 eV per atom
# **Total magnetic moment**: 18.0 Bohr magnetons per cell

# 5
# Pu2I2Cl3 | Alexandria | PBE-GGA | optimized geometry
data_Pu2I2Cl3
_cell_length_a 12.247
_cell_length_b 4.306
_cell_length_c 8.399
_cell_angle_alpha 90.00
_cell_angle_beta 113.69
_cell_angle_gamma 90.00
_symmetry_space_group_name_H-M 'C 1 2/m 1'
_symmetry_Int_Tables_number 12
loop_
_symmetry_equiv_pos_as_xyz
'x,y,z'
'-x,-y,-z'
'-x,y,-z'
'x,-y,z'
'x+1/2,y+1/2,z'
'-x+1/2,-y+1/2,-z'
'-x+1/2,y+1/2,-z'
'x+1/2,-y+1/2,z'
loop_
_atom_site_label
_atom_site_fract_x
_atom_site_fract_y
_atom_site_fract_z
Pu1 0.162 0.000 0.224
I1 0.146 0.000 0.802
Cl1 0.000 0.500 0.000
Cl2 0.137 0.500 0.431
# **E_tot**: -6.880 eV per atom
# **Crystal system**: monoclinic
# **Uncorrected formation energy**: -1.55 eV per atom
# **Total magnetic moment**: 22.0 Bohr magnetons per cell

# 6
# Pm2Tm3Cd3 | Alexandria | PBE-GGA | optimized geometry
data_Pm2Tm3Cd3
_cell_length_a 3.754
_cell_length_b 5.278
_cell_length_c 22.298
_cell_angle_alpha 90.00
_cell_angle_beta 90.00
_cell_angle_gamma 90.00
_symmetry_space_group_name_H-M 'I m m m'
_symmetry_Int_Tables_number 71
_symmetry_space_group_name_Hall '-I 2 2'
loop_
_atom_site_label
_atom_site_fract_x
_atom_site_fract_y
_atom_site_fract_z
Pm1 0.000 0.000 0.232
Tm1 0.000 0.000 0.000
Tm2 0.000 0.500 0.120
Cd1 0.000 0.000 0.500
Cd2 0.000 0.500 0.387
# **E_tot**: -3.426 eV per atom
# **Crystal system**: orthorhombic
# **Total magnetic moment**: 0.0 Bohr magnetons per cell